Material: KMg5Hg2
Method: DFT, PBE
State: relaxed

Cell: 4.556 8.550 11.092 Å, 90.00 90.00 90.00°
Space group Immm (No. 71)
Asymmetric unit:
1 K 0.000 0.000 0.000
2 Mg 0.000 0.185 0.345
3 Mg 0.000 0.500 0.000
4 Hg 0.000 0.500 0.255

Computed properties:
Calculated total energy ... -1.32 eV per atom

Material: TbDy2Ho
Method: DFT, PBE
State: relaxed

Cell: 3.5614 3.5614 34.2229 Å, 90.00 90.00 120.00°
Space group R3m (No. 160, hexagonal axes)
Asymmetric unit:
1 Tb 0.0000 0.0000 0.0000
2 Dy 0.0000 0.0000 0.4173
3 Dy 0.0000 0.0000 0.5827
4 Ho 0.0000 0.0000 0.8338

Computed properties:
Calculated total energy ... -4.60 eV per atom
Excess energy over the best structure of this formula in the dataset ... 0 meV/atom

Material: Be2Te
Method: DFT, PBE
State: relaxed

Cell: 3.8676 3.8676 9.3504 Å, 90.00 90.00 120.00°
Space group P6_3/mmc (No. 194)
Asymmetric unit:
1 Be 0.3333 0.6667 0.1388
2 Te 0.0000 0.0000 0.0000

Computed properties:
Formation energy (no corrections) ... 0.52 eV per atom
Calculated total energy ... -3.01 eV per atom
Excess energy over the best structure of this formula in the dataset ... 499 meV/atom

Material: DyRe6
Method: DFT, PBE
State: relaxed

Cell: 8.497 5.231 10.842 Å, 90.00 90.00 90.00°
Space group Pnma (No. 62)
Asymmetric unit:
1 Dy 0.232 0.250 0.056
2 Re 0.072 0.009 0.307
3 Re 0.083 0.250 0.522
4 Re 0.083 0.750 0.082
5 Re 0.140 0.750 0.850
6 Re 0.182 0.250 0.757

Computed properties:
Calculated total energy ... -11.30 eV per atom
Excess energy over the best structure of this formula in the dataset ... 0 meV/atom

Material: Ti2Si2Ag
Method: DFT, PBE
State: relaxed

Cell: 6.554 6.554 3.602 Å, 90.00 90.00 90.00°
Space group P4/mbm (No. 127)
Asymmetric unit:
1 Ti 0.174 0.326 0.000
2 Si 0.125 0.625 0.500
3 Ag 0.000 0.000 0.500

Computed properties:
Formation energy (no corrections) ... -0.46 eV per atom
Calculated total energy ... -6.36 eV per atom